1.
Entry from Alexandria: a relaxed structure of CuSb2Ir (PBE-GGA).

Summary:
- E_form (uncorrected) (eV/f.u.) = 1.3
- polymorph energy (0 for the lowest one) (meV/atom) = 308
- Fermi-level density of states (states/eV/atom) = 0.366
- symmetry = I-4m2 (119)

a = 5.476 Å, b = 5.476 Å, c = 5.476 Å
α = 136.91°, β = 136.91°, γ = 62.57°
Atoms (fractional coordinates):
Cu 0.500 0.500 0.000
Ir 0.750 0.250 0.500
Sb 0.000 0.000 0.000
Sb 0.250 0.750 0.500



2.
Entry from Alexandria: a relaxed structure of Ac4GeTeSe2 (PBE-GGA).

Summary:
- E_form (uncorrected) (eV/f.u.) = -12.4
- Fermi-level density of states (states/eV/atom) = 0.395
- symmetry = P2/m (10)

a = 4.586 Å, b = 7.858 Å, c = 8.039 Å
α = 70.48°, β = 90.00°, γ = 90.00°
Atoms (fractional coordinates):
Ac 0.000 0.756 0.731
Ac 0.000 0.244 0.269
Ac 0.500 0.746 0.265
Ac 0.500 0.254 0.735
Ge 0.000 0.500 0.500
Te 0.500 0.500 0.000
Se 0.000 0.000 0.000
Se 0.500 0.000 0.500